[1]
Li4Tl2ZnCd (PBE, optimized geometry); E_tot = -2.03 eV per atom; space-group type = P-4m2, No. 115; crystal system = tetragonal
1.0
4.670 0.000 0.000
0.000 4.670 0.000
0.000 0.000 6.657
Li Tl Zn Cd
4 2 1 1
direct
0.000 0.000 0.000
0.000 0.500 0.240
0.500 0.000 0.760
0.500 0.500 0.500
0.000 0.500 0.766
0.500 0.000 0.234
0.500 0.500 0.000
0.000 0.000 0.500



[2]
U3PaC4 (PBE, optimized geometry); E_tot = -10.24 eV per atom; size of the total moment = 0.03 μB/f.u.; space-group type = Cmmm, No. 65; crystal system = orthorhombic
1.0
6.975 0.000 0.000
0.000 9.940 0.000
0.000 0.000 3.522
U Pa C
6 2 8
direct
0.000 0.000 0.000
0.250 0.250 0.500
0.250 0.750 0.500
0.500 0.500 0.000
0.750 0.250 0.500
0.750 0.750 0.500
0.000 0.500 0.000
0.500 0.000 0.000
0.000 0.245 0.000
0.000 0.755 0.000
0.238 0.000 0.500
0.262 0.500 0.500
0.500 0.255 0.000
0.500 0.745 0.000
0.738 0.500 0.500
0.762 0.000 0.500



[3]
ErAsNO (PBE, optimized geometry); energy relative to the lowest polymorph listed for this composition = 127 meV per atom; size of the total moment = 0.00 μB/f.u.; space-group type = Pmc2_1, No. 26; crystal system = orthorhombic
1.0
3.720 0.000 0.000
0.000 5.826 0.000
0.000 0.000 5.453
Er As N O
2 2 2 2
direct
0.000 0.172 0.000
0.000 0.828 0.500
0.500 0.341 0.491
0.500 0.659 0.991
0.000 0.219 0.410
0.000 0.781 0.910
0.500 0.150 0.783
0.500 0.850 0.283



[4]
TbYGe (PBE, optimized geometry); energy relative to the lowest polymorph listed for this composition = 0 meV per atom; size of the total moment = 0.08 μB/f.u.; space-group type = I4/mmm, No. 139; crystal system = tetragonal
1.0
4.409 0.000 0.000
0.000 4.409 0.000
0.000 0.000 16.014
Tb Y Ge
4 4 4
direct
0.000 0.000 0.180
0.000 0.000 0.820
0.500 0.500 0.320
0.500 0.500 0.680
0.000 0.500 0.000
0.000 0.500 0.500
0.500 0.000 0.000
0.500 0.000 0.500
0.000 0.000 0.365
0.000 0.000 0.635
0.500 0.500 0.135
0.500 0.500 0.865